Entry 1:
The following is a PBE calculation of a relaxed structure of GeSO, from Alexandria via LeMat-Bulk.

Computed properties:
* distance to the lowest polymorph of the same formula: 0.0 meV per atom
* theoretical density: 3.39 g/cm³
* V: 236.7 Å³/cell
* SG: C2/m

```
GeSO
1.0
10.392 0.000 0.000
0.000 3.937 0.000
-2.798 0.000 5.784
Ge S O
4 4 4
Direct
0.139 0.000 0.000
0.361 0.500 0.000
0.639 0.500 0.000
0.861 0.000 0.000
0.080 0.000 0.299
0.420 0.500 0.701
0.580 0.500 0.299
0.920 0.000 0.701
0.185 0.500 0.001
0.315 0.000 0.999
0.685 0.000 0.001
0.815 0.500 0.999
```

=====

Entry 2:
The following is a PBE calculation of a relaxed structure of GeS2O8, from Alexandria via LeMat-Bulk.

Computed properties:
* distance to the lowest polymorph of the same formula: 31.5 meV per atom
* theoretical density: 2.67 g/cm³
* V: 164.8 Å³/cell
* SG: C2/m

```
GeS2O8
1.0
4.887 -3.774 0.000
4.887 3.774 0.000
-0.558 0.000 4.469
Ge S O
1 2 8
Direct
0.000 0.000 0.000
0.187 0.187 0.653
0.813 0.813 0.347
0.049 0.739 0.219
0.156 0.156 0.317
0.261 0.951 0.781
0.331 0.331 0.740
0.669 0.669 0.260
0.739 0.049 0.219
0.844 0.844 0.683
0.951 0.261 0.781
```

=====

Entry 3:
The following is a PBE calculation of a relaxed structure of Ge3SO, from Alexandria via LeMat-Bulk.

Computed properties:
* distance to the lowest polymorph of the same formula: 0.0 meV per atom
* theoretical density: 4.75 g/cm³
* V: 92.9 Å³/cell
* SG: Pm-3m

```
Ge3SO
1.0
4.529 0.000 0.000
0.000 4.529 0.000
0.000 0.000 4.529
Ge S O
3 1 1
Direct
0.000 0.000 0.500
0.000 0.500 0.000
0.500 0.000 0.000
0.500 0.500 0.500
0.000 0.000 0.000
```

=====

Entry 4:
The following is a PBE calculation of a relaxed structure of Sr2GeS8O28, from Alexandria via LeMat-Bulk.

Computed properties:
* theoretical density: 2.68 g/cm³
* E_tot: -478.66 eV for the cell shown
* V: 1180.1 Å³/cell
* SG: P2_1/c

```
Sr2GeS8O28
1.0
7.117 0.000 0.000
0.000 13.284 0.000
-5.501 0.000 12.481
Sr Ge S O
4 2 16 56
Direct
0.142 0.136 0.341
0.142 0.364 0.841
0.858 0.636 0.159
0.858 0.864 0.659
0.500 0.000 0.000
0.500 0.500 0.500
0.222 0.151 0.060
0.222 0.349 0.560
0.237 0.083 0.771
0.237 0.417 0.271
0.317 0.528 0.104
0.317 0.972 0.604
0.372 0.718 0.410
0.372 0.782 0.910
0.628 0.218 0.090
0.628 0.282 0.590
0.683 0.028 0.396
0.683 0.472 0.896
0.763 0.583 0.729
0.763 0.917 0.229
0.778 0.651 0.440
0.778 0.849 0.940
0.048 0.030 0.751
0.048 0.470 0.251
0.123 0.231 0.987
0.123 0.269 0.487
0.139 0.121 0.135
0.139 0.379 0.635
0.187 0.602 0.125
0.187 0.898 0.625
0.190 0.733 0.315
0.190 0.767 0.815
0.243 0.011 0.497
0.243 0.489 0.997
0.245 0.188 0.800
0.245 0.312 0.300
0.255 0.060 0.000
0.255 0.440 0.500
0.289 0.082 0.670
0.289 0.418 0.170
0.354 0.625 0.470
0.354 0.875 0.970
0.422 0.025 0.852
0.422 0.475 0.352
0.455 0.699 0.982
0.455 0.801 0.482
0.457 0.186 0.139
0.457 0.314 0.639
0.465 0.047 0.343
0.465 0.453 0.843
0.535 0.547 0.157
0.535 0.953 0.657
0.543 0.686 0.361
0.543 0.814 0.861
0.545 0.199 0.518
0.545 0.301 0.018
0.578 0.525 0.648
0.578 0.975 0.148
0.646 0.125 0.030
0.646 0.375 0.530
0.711 0.582 0.830
0.711 0.918 0.330
0.745 0.560 0.500
0.745 0.940 0.000
0.755 0.688 0.700
0.755 0.812 0.200
0.757 0.511 0.003
0.757 0.989 0.503
0.810 0.233 0.185
0.810 0.267 0.685
0.813 0.102 0.375
0.813 0.398 0.875
0.861 0.621 0.365
0.861 0.879 0.865
0.877 0.731 0.513
0.877 0.769 0.013
0.952 0.530 0.749
0.952 0.970 0.249
```

=====

Entry 5:
The following is a PBE calculation of a relaxed structure of Y3GeSO, from Alexandria via LeMat-Bulk.

Computed properties:
* theoretical density: 4.70 g/cm³
* E_tot: -89.47 eV for the cell shown
* V: 273.8 Å³/cell
* SG: P2_1/m

```
Y3GeSO
1.0
8.181 0.000 0.000
0.000 3.953 0.000
-1.621 0.000 8.466
Y Ge S O
6 2 2 2
Direct
0.093 0.250 0.332
0.324 0.250 0.991
0.399 0.750 0.644
0.601 0.250 0.356
0.676 0.750 0.009
0.907 0.750 0.668
0.331 0.750 0.287
0.669 0.250 0.713
0.151 0.250 0.660
0.849 0.750 0.340
0.402 0.750 0.907
0.598 0.250 0.093
```

=====

Entry 6:
The following is a PBE calculation of a relaxed structure of GeSbO3, from Alexandria via LeMat-Bulk.

Computed properties:
* theoretical density: 4.85 g/cm³
* E_tot: -89.08 eV for the cell shown
* V: 249.0 Å³/cell
* SG: R3m

```
GeSbO3
1.0
5.747 0.000 0.000
-2.873 4.977 0.000
0.000 0.000 8.709
Ge Sb O
3 3 9
Direct
0.000 0.000 0.000
0.333 0.667 0.667
0.667 0.333 0.333
0.000 0.000 0.624
0.333 0.667 0.290
0.667 0.333 0.957
0.003 0.502 0.427
0.165 0.330 0.760
0.165 0.835 0.760
0.336 0.168 0.093
0.498 0.502 0.427
0.498 0.997 0.427
0.670 0.835 0.760
0.832 0.168 0.093
0.832 0.664 0.093
```

=====

Entry 7:
The following is a PBE calculation of a relaxed structure of GeSbO3, from Alexandria via LeMat-Bulk.

Computed properties:
* theoretical density: 6.01 g/cm³
* E_tot: -27.48 eV for the cell shown
* V: 67.0 Å³/cell
* SG: Pm-3m

```
GeSbO3
1.0
4.061 0.000 0.000
0.000 4.061 0.000
0.000 0.000 4.061
Ge Sb O
1 1 3
Direct
0.000 0.000 0.000
0.500 0.500 0.500
0.000 0.500 0.500
0.500 0.000 0.500
0.500 0.500 0.000
```

=====

Entry 8:
The following is a PBE calculation of a relaxed structure of GeSbO3, from Alexandria via LeMat-Bulk.

Computed properties:
* theoretical density: 6.79 g/cm³
* E_tot: -28.08 eV for the cell shown
* V: 59.3 Å³/cell
* SG: Pm-3m

```
GeSbO3
1.0
3.899 0.000 0.000
0.000 3.899 0.000
0.000 0.000 3.899
Ge Sb O
1 1 3
Direct
0.000 0.000 0.000
0.500 0.500 0.500
0.000 0.000 0.500
0.000 0.500 0.000
0.500 0.000 0.000
```

=====

Entry 9:
The following is a PBE calculation of a relaxed structure of GeSb2O5, from Alexandria via LeMat-Bulk.

Computed properties:
* theoretical density: 4.74 g/cm³
* E_tot: -48.57 eV for the cell shown
* V: 138.8 Å³/cell
* SG: P1

```
GeSb2O5
1.0
5.506 0.000 0.000
0.733 5.487 0.000
2.353 2.139 4.593
Ge Sb O
1 2 5
Direct
0.000 0.000 0.000
0.414 0.850 0.325
0.937 0.337 0.386
0.169 0.204 0.621
0.172 0.702 0.142
0.216 0.172 0.119
0.719 0.105 0.249
0.735 0.826 0.987
```

=====

Entry 10:
The following is a PBE calculation of a relaxed structure of GeSbO4, from Alexandria via LeMat-Bulk.

Computed properties:
* distance to the lowest polymorph of the same formula: 3.9 meV per atom
* theoretical density: 4.37 g/cm³
* V: 196.2 Å³/cell
* SG: Cmcm

```
GeSbO4
1.0
3.090 -4.697 0.000
3.090 4.697 0.000
0.000 0.000 6.762
Ge Sb O
2 2 8
Direct
0.171 0.829 0.750
0.829 0.171 0.250
0.308 0.692 0.250
0.692 0.308 0.750
0.175 0.306 0.250
0.293 0.707 0.551
0.293 0.707 0.949
0.306 0.175 0.750
0.694 0.825 0.250
0.707 0.293 0.051
0.707 0.293 0.449
0.825 0.694 0.750
```

=====

Entry 11:
The following is a PBE calculation of a relaxed structure of Ge3SbO, from Alexandria via LeMat-Bulk.

Computed properties:
* distance to the lowest polymorph of the same formula: 0.0 meV per atom
* theoretical density: 6.12 g/cm³
* V: 96.4 Å³/cell
* SG: Pm-3m

```
Ge3SbO
1.0
4.586 0.000 0.000
0.000 4.586 0.000
0.000 0.000 4.586
Ge Sb O
3 1 1
Direct
0.000 0.000 0.500
0.000 0.500 0.000
0.500 0.000 0.000
0.500 0.500 0.500
0.000 0.000 0.000
```

=====

Entry 12:
The following is a PBE calculation of a relaxed structure of GeSbO4, from Alexandria via LeMat-Bulk.

Computed properties:
* distance to the lowest polymorph of the same formula: 0.0 meV per atom
* theoretical density: 3.97 g/cm³
* V: 215.9 Å³/cell
* SG: P-42c

```
GeSbO4
1.0
4.967 0.000 0.000
0.000 4.967 0.000
0.000 0.000 8.751
Ge Sb O
2 2 8
Direct
0.000 0.500 0.250
0.500 0.000 0.750
0.000 0.000 0.000
0.000 0.000 0.500
0.190 0.280 0.371
0.190 0.720 0.129
0.280 0.190 0.871
0.280 0.810 0.629
0.720 0.190 0.629
0.720 0.810 0.871
0.810 0.280 0.129
0.810 0.720 0.371
```